[1]
An optimized crystal structure of As4Pb5. Source: Alexandria via LeMat-Bulk, functional PBE-GGA.

```
As4Pb5
1.0
-3.732 -2.055 -7.441
8.126 -2.292 1.498
-2.511 -6.844 3.150
Pb As
10 8
direct
0.000 0.749 0.250 Pb
0.251 0.251 0.250 Pb
0.749 0.000 0.250 Pb
0.000 0.251 0.750 Pb
0.749 0.749 0.750 Pb
0.251 0.000 0.750 Pb
0.667 0.333 0.000 Pb
0.333 0.667 0.500 Pb
0.333 0.667 0.000 Pb
0.667 0.333 0.500 Pb
0.000 0.000 0.000 As
0.000 0.000 0.500 As
0.000 0.410 0.250 As
0.590 0.590 0.250 As
0.410 0.000 0.250 As
0.000 0.590 0.750 As
0.410 0.410 0.750 As
0.590 0.000 0.750 As
```

Output
Energy relative to the elements in kJ per mole of atoms: 7.82
Energy relative to the lowest polymorph listed for this composition in meV/atom: 0
Magnetic moment in μB per cell: 0.000
DOS at the Fermi energy in states/eV/atom: 0.253

[2]
An optimized crystal structure of CaRe2Se. Source: Alexandria via LeMat-Bulk, functional PBE-GGA.

```
CaRe2Se
1.0
-4.371 0.196 3.319
5.009 -1.432 1.739
0.579 2.755 0.601
Re Ca Se
2 1 1
direct
0.000 0.000 0.000 Re
0.500 0.500 0.000 Re
0.000 0.500 0.500 Ca
0.500 0.000 0.500 Se
```

Output
Magnetic moment in μB per cell: 0.000
Formation energy (no corrections) in eV/f.u.: 3.36
DOS at the Fermi energy in states/eV/atom: 1.069

[3]
An optimized crystal structure of Nd8Dy3Er4. Source: Alexandria via LeMat-Bulk, functional PBE-GGA.

```
Nd8Dy3Er4
1.0
6.865 -0.170 -0.244
-3.396 8.569 1.626
-3.396 -1.450 8.600
Nd Dy Er
8 3 4
direct
0.767 0.296 0.296 Nd
0.000 0.705 0.295 Nd
0.198 0.244 0.244 Nd
0.500 0.754 0.246 Nd
0.500 0.246 0.754 Nd
0.802 0.756 0.756 Nd
0.000 0.295 0.705 Nd
0.233 0.704 0.704 Nd
0.500 0.500 0.000 Dy
0.500 0.000 0.500 Dy
0.500 0.500 0.500 Dy
0.500 0.000 0.000 Er
0.000 0.500 0.000 Er
0.000 0.000 0.000 Er
0.000 0.000 0.500 Er
```

Output
Energy relative to the elements in kJ per mole of atoms: 32.69
Magnetic moment in μB per cell: 0.000
DOS at the Fermi energy in states/eV/atom: 1.508

[4]
An optimized crystal structure of AlV2ReH. Source: Alexandria via LeMat-Bulk, functional PBE-GGA.

```
AlV2ReH
1.0
3.882 0.000 0.000
0.000 3.882 0.000
0.000 0.000 3.896
Re Al H V
1 1 1 2
direct
0.000 0.000 0.500 Re
0.500 0.500 0.500 Al
0.000 0.000 0.000 H
0.000 0.500 0.000 V
0.500 0.000 0.000 V
```

Output
Magnetic moment in μB per cell: 0.000
Total DFT energy (no corrections) in eV/atom: -7.677
DOS at the Fermi energy in states/eV/atom: 0.576

What is the formula in the first record? As4Pb5

What did the fourth record say?
An optimized crystal structure of AlV2ReH. Source: Alexandria via LeMat-Bulk, functional PBE-GGA.

```
AlV2ReH
1.0
3.882 0.000 0.000
0.000 3.882 0.000
0.000 0.000 3.896
Re Al H V
1 1 1 2
direct
0.000 0.000 0.500 Re
0.500 0.500 0.500 Al
0.000 0.000 0.000 H
0.000 0.500 0.000 V
0.500 0.000 0.000 V
```

Output
Magnetic moment in μB per cell: 0.000
Total DFT energy (no corrections) in eV/atom: -7.677
DOS at the Fermi energy in states/eV/atom: 0.576

The lowest DOS at the Fermi energy belongs to which entry? As4Pb5